Here is AcPbN after structural relaxation from Alexandria via LeMat-Bulk. Energies are from PBE-GGA. Values from VASP.

Computed properties:
SG: No. 156
ΔE_f (raw) in meV per atom: -297
DOS(E_F) in states/eV/atom: 0.1742
Crystal system: trigonal
Energy in eV per atom: -5.678

Quantum ESPRESSO input file:
```
&SYSTEM
  ibrav = 0, nat = 3, ntyp = 3
/
ATOMIC_SPECIES
Ac 227.00 Ac.upf
Pb 207.20 Pb.upf
N 14.01 N.upf
CELL_PARAMETERS angstrom
4.0090 0.0000 0.0000
-2.0045 3.4719 0.0000
0.0000 0.0000 6.1747
ATOMIC_POSITIONS crystal
Ac 0.0000 0.0000 0.0000
Pb 0.6667 0.3333 0.4656
N 0.3333 0.6667 0.1178
```



Here is K2PrAgCl6 after structural relaxation from Alexandria via LeMat-Bulk. Energies are from PBE-GGA. Values from VASP.

Computed properties:
SG: No. 225
ΔE_f (raw) in meV per atom: -1742
DOS(E_F) in states/eV/atom: 0.0000
Crystal system: cubic
Energy in eV per atom: -3.832

Quantum ESPRESSO input file:
```
&SYSTEM
  ibrav = 0, nat = 10, ntyp = 4
/
ATOMIC_SPECIES
K 39.10 K.upf
Pr 140.91 Pr.upf
Ag 107.87 Ag.upf
Cl 35.45 Cl.upf
CELL_PARAMETERS angstrom
0.0000 5.4651 5.4651
5.4651 0.0000 5.4651
5.4651 5.4651 0.0000
ATOMIC_POSITIONS crystal
K 0.2500 0.2500 0.2500
K 0.7500 0.7500 0.7500
Pr 0.0000 0.0000 0.0000
Ag 0.5000 0.5000 0.5000
Cl 0.2505 0.2505 0.7495
Cl 0.2505 0.7495 0.2505
Cl 0.2505 0.7495 0.7495
Cl 0.7495 0.2505 0.2505
Cl 0.7495 0.2505 0.7495
Cl 0.7495 0.7495 0.2505
```



Here is VTe after structural relaxation from Alexandria via LeMat-Bulk. Energies are from PBE-GGA. Values from VASP.

Computed properties:
SG: No. 87
ΔE_f (raw) in meV per atom: 58
DOS(E_F) in states/eV/atom: 0.6284
Crystal system: tetragonal
Energy in eV per atom: -6.072

Quantum ESPRESSO input file:
```
&SYSTEM
  ibrav = 0, nat = 8, ntyp = 2
/
ATOMIC_SPECIES
V 50.94 V.upf
Te 127.60 Te.upf
CELL_PARAMETERS angstrom
-5.6906 5.6906 1.7544
5.6906 -5.6906 1.7544
5.6906 5.6906 -1.7544
ATOMIC_POSITIONS crystal
V 0.1762 0.2791 0.4553
V 0.2791 0.8238 0.1029
V 0.7209 0.1762 0.8971
V 0.8238 0.7209 0.5447
Te 0.0600 0.7417 0.8017
Te 0.2583 0.0600 0.3183
Te 0.7417 0.9400 0.6817
Te 0.9400 0.2583 0.1983
```



Here is Np4GaRh12 after structural relaxation from Alexandria via LeMat-Bulk. Energies are from PBE-GGA. Values from VASP.

Computed properties:
DFT formation energy in kJ per mole of atoms: -35
SG: No. 229
DOS(E_F) in states/eV/atom: 2.5604
Crystal system: cubic
Energy in eV per atom: -8.771

Quantum ESPRESSO input file:
```
&SYSTEM
  ibrav = 0, nat = 17, ntyp = 3
/
ATOMIC_SPECIES
Np 237.00 Np.upf
Ga 69.72 Ga.upf
Rh 102.91 Rh.upf
CELL_PARAMETERS angstrom
-4.1410 4.1410 4.1410
4.1410 -4.1410 4.1410
4.1410 4.1410 -4.1410
ATOMIC_POSITIONS crystal
Np 0.0000 0.0000 0.5000
Np 0.0000 0.5000 0.0000
Np 0.5000 0.0000 0.0000
Np 0.5000 0.5000 0.5000
Ga 0.0000 0.0000 0.0000
Rh 0.0000 0.2883 0.2883
Rh 0.0000 0.7117 0.7117
Rh 0.2500 0.5000 0.7500
Rh 0.2500 0.7500 0.5000
Rh 0.2883 0.0000 0.2883
Rh 0.2883 0.2883 0.0000
Rh 0.5000 0.2500 0.7500
Rh 0.5000 0.7500 0.2500
Rh 0.7117 0.0000 0.7117
Rh 0.7117 0.7117 0.0000
Rh 0.7500 0.2500 0.5000
Rh 0.7500 0.5000 0.2500
```



Here is InGaI2F after structural relaxation from Alexandria via LeMat-Bulk. Energies are from PBE-GGA. Values from VASP.

Computed properties:
SG: No. 123
ΔE_f (raw) in meV per atom: -869
DOS(E_F) in states/eV/atom: 0.2994
Crystal system: tetragonal
Energy in eV per atom: -3.017

Quantum ESPRESSO input file:
```
&SYSTEM
  ibrav = 0, nat = 5, ntyp = 4
/
ATOMIC_SPECIES
In 114.82 In.upf
Ga 69.72 Ga.upf
I 126.90 I.upf
F 19.00 F.upf
CELL_PARAMETERS angstrom
5.9322 0.0000 0.0000
0.0000 5.9322 0.0000
0.0000 0.0000 4.2156
ATOMIC_POSITIONS crystal
In 0.0000 0.0000 0.0000
Ga 0.5000 0.5000 0.5000
I 0.0000 0.5000 0.5000
I 0.5000 0.0000 0.5000
F 0.5000 0.5000 0.0000
```



Here is GaWSe2S after structural relaxation from Alexandria via LeMat-Bulk. Energies are from PBE-GGA. Values from VASP.

Computed properties:
SG: No. 123
ΔE_f (raw) in meV per atom: 493
DOS(E_F) in states/eV/atom: 0.6231
Crystal system: tetragonal
Energy in eV per atom: -4.922

Quantum ESPRESSO input file:
```
&SYSTEM
  ibrav = 0, nat = 5, ntyp = 4
/
ATOMIC_SPECIES
Ga 69.72 Ga.upf
W 183.84 W.upf
Se 78.96 Se.upf
S 32.06 S.upf
CELL_PARAMETERS angstrom
4.7919 0.0000 0.0000
0.0000 4.7919 0.0000
0.0000 0.0000 5.3032
ATOMIC_POSITIONS crystal
Ga 0.0000 0.0000 0.0000
W 0.0000 0.0000 0.5000
Se 0.0000 0.5000 0.5000
Se 0.5000 0.0000 0.5000
S 0.5000 0.5000 0.0000
```



Here is Y3In3Hg after structural relaxation from Alexandria via LeMat-Bulk. Energies are from PBE-GGA. Values from VASP.

Computed properties:
DFT formation energy in kJ per mole of atoms: -44
SG: No. 12
DOS(E_F) in states/eV/atom: 0.7681
Crystal system: monoclinic
Energy in eV per atom: -4.441

Quantum ESPRESSO input file:
```
&SYSTEM
  ibrav = 0, nat = 14, ntyp = 3
/
ATOMIC_SPECIES
Y 88.91 Y.upf
In 114.82 In.upf
Hg 200.59 Hg.upf
CELL_PARAMETERS angstrom
5.6952 -2.3315 0.0000
5.6952 2.3315 0.0000
-4.7517 0.0000 14.2816
ATOMIC_POSITIONS crystal
Y 0.0261 0.0261 0.3760
Y 0.1037 0.1037 0.9243
Y 0.2292 0.2292 0.2214
Y 0.7708 0.7708 0.7786
Y 0.8963 0.8963 0.0757
Y 0.9739 0.9739 0.6240
In 0.3653 0.3653 0.4607
In 0.3816 0.3816 0.9258
In 0.4927 0.4927 0.7744
In 0.5073 0.5073 0.2256
In 0.6184 0.6184 0.0742
In 0.6347 0.6347 0.5393
Hg 0.2607 0.2607 0.6252
Hg 0.7393 0.7393 0.3748
```



Here is Ta3GeIr after structural relaxation from Alexandria via LeMat-Bulk. Energies are from PBE-GGA. Values from VASP.

Computed properties:
DFT formation energy in kJ per mole of atoms: 102
SG: No. 221
DOS(E_F) in states/eV/atom: 0.9766
Crystal system: cubic
Energy in eV per atom: -8.752

Quantum ESPRESSO input file:
```
&SYSTEM
  ibrav = 0, nat = 5, ntyp = 3
/
ATOMIC_SPECIES
Ta 180.95 Ta.upf
Ge 72.64 Ge.upf
Ir 192.22 Ir.upf
CELL_PARAMETERS angstrom
4.8602 0.0000 0.0000
0.0000 4.8602 0.0000
0.0000 0.0000 4.8602
ATOMIC_POSITIONS crystal
Ta 0.0000 0.0000 0.5000
Ta 0.0000 0.5000 0.0000
Ta 0.5000 0.0000 0.0000
Ge 0.5000 0.5000 0.5000
Ir 0.0000 0.0000 0.0000
```



Here is InMoP after structural relaxation from Alexandria via LeMat-Bulk. Energies are from PBE-GGA. Values from VASP.

Computed properties:
DFT formation energy in kJ per mole of atoms: 25
SG: No. 42
DOS(E_F) in states/eV/atom: 0.7090
Crystal system: orthorhombic
Energy in eV per atom: -6.066

Quantum ESPRESSO input file:
```
&SYSTEM
  ibrav = 0, nat = 3, ntyp = 3
/
ATOMIC_SPECIES
In 114.82 In.upf
Mo 95.94 Mo.upf
P 30.97 P.upf
CELL_PARAMETERS angstrom
0.0000 2.4786 6.8409
1.6910 0.0000 6.8409
1.6910 2.4786 0.0000
ATOMIC_POSITIONS crystal
In 0.0000 0.0000 0.0000
Mo 0.3234 0.3234 0.6766
P 0.7049 0.7049 0.2951
```



Here is Ag2Hg5Pd5 after structural relaxation from Alexandria via LeMat-Bulk. Energies are from PBE-GGA. Values from VASP.

Computed properties:
DFT formation energy in kJ per mole of atoms: -8
SG: No. 12
DOS(E_F) in states/eV/atom: 0.3885
Crystal system: monoclinic
Energy in eV per atom: -2.844

Quantum ESPRESSO input file:
```
&SYSTEM
  ibrav = 0, nat = 12, ntyp = 3
/
ATOMIC_SPECIES
Ag 107.87 Ag.upf
Hg 200.59 Hg.upf
Pd 106.42 Pd.upf
CELL_PARAMETERS angstrom
6.3600 -2.0055 0.0000
6.3600 2.0055 0.0000
-4.3720 0.0000 8.5763
ATOMIC_POSITIONS crystal
Ag 0.0799 0.0799 0.2576
Ag 0.9201 0.9201 0.7424
Hg 0.0000 0.0000 0.5000
Hg 0.1563 0.1563 0.9928
Hg 0.2555 0.2555 0.7336
Hg 0.7445 0.7445 0.2664
Hg 0.8437 0.8437 0.0072
Pd 0.3383 0.3383 0.5010
Pd 0.4085 0.4085 0.2466
Pd 0.5000 0.5000 0.0000
Pd 0.5915 0.5915 0.7534
Pd 0.6617 0.6617 0.4990
```



Here is BaMnMo after structural relaxation from Alexandria via LeMat-Bulk. Energies are from PBE-GGA. Values from VASP.

Computed properties:
DFT formation energy in kJ per mole of atoms: 139
SG: No. 216
DOS(E_F) in states/eV/atom: 1.1886
Crystal system: cubic
Energy in eV per atom: -5.871

Quantum ESPRESSO input file:
```
&SYSTEM
  ibrav = 0, nat = 3, ntyp = 3
/
ATOMIC_SPECIES
Ba 137.33 Ba.upf
Mn 54.94 Mn.upf
Mo 95.94 Mo.upf
CELL_PARAMETERS angstrom
0.0000 3.4408 3.4408
3.4408 0.0000 3.4408
3.4408 3.4408 0.0000
ATOMIC_POSITIONS crystal
Ba 0.0000 0.0000 0.0000
Mn 0.7500 0.7500 0.7500
Mo 0.5000 0.5000 0.5000
```



Here is AcSmSnBr after structural relaxation from Alexandria via LeMat-Bulk. Energies are from PBE-GGA. Values from VASP.

Computed properties:
SG: No. 216
ΔE_f (raw) in meV per atom: -908
DOS(E_F) in states/eV/atom: 0.8422
Crystal system: cubic
Energy in eV per atom: -4.534

Quantum ESPRESSO input file:
```
&SYSTEM
  ibrav = 0, nat = 4, ntyp = 4
/
ATOMIC_SPECIES
Ac 227.00 Ac.upf
Sm 150.36 Sm.upf
Sn 118.71 Sn.upf
Br 79.90 Br.upf
CELL_PARAMETERS angstrom
0.0000 3.9366 3.9366
3.9366 0.0000 3.9366
3.9366 3.9366 0.0000
ATOMIC_POSITIONS crystal
Ac 0.0000 0.0000 0.0000
Sm 0.5000 0.5000 0.5000
Sn 0.2500 0.2500 0.2500
Br 0.7500 0.7500 0.7500
```